{"formula": "CdGa2Cu", "functional": "GGA-PBE", "state": "relaxed", "lattice_angstrom": [[-2.6241, 1.1941, -0.8337], [0.1494, -1.7404, 2.4387], [1.7041, 7.3502, 5.1636]], "species": ["Cu", "Ga", "Ga", "Cd"], "fractional_positions": [[0.0000, 0.0000, 0.5000], [0.3329, 0.6658, 0.7149], [0.6671, 0.3342, 0.2851], [0.0000, 0.0000, 0.0000]], "volume_a3_per_atom": 17.8, "e_tot_ha_per_atom": -0.0991, "total_magnetization_mub_per_fu": 0.0}